1.
{
  "formula": "CuAgMo2",
  "functional": "PBE-GGA",
  "state": "optimized geometry",
  "e_above_lowest_polymorph_ev_per_atom": 0.236,
  "dft_energy_ev_per_atom": -6.68,
  "cell": [[-8.730, -4.038, -0.522], [-8.063, -4.877, 2.002], [-9.185, -2.403, 1.631]],
  "species": ["Ag", "Cu", "Mo", "Mo"],
  "frac_coords": [[0.250, 0.250, 0.250], [0.750, 0.750, 0.750], [0.005, 0.005, 0.005], [0.495, 0.495, 0.495]]
}


2.
{
  "formula": "HgPt2Br",
  "functional": "PBE-GGA",
  "state": "optimized geometry",
  "e_above_lowest_polymorph_ev_per_atom": 0.247,
  "dft_energy_ev_per_atom": -3.12,
  "raw_formation_energy_ev_per_atom": 0.39,
  "cell": [[5.622, 0.001, -0.001], [2.057, 5.232, 0.001], [-2.851, -4.067, 2.634]],
  "species": ["Br", "Hg", "Pt", "Pt"],
  "frac_coords": [[0.250, 0.750, 0.500], [0.750, 0.250, 0.500], [0.004, 0.004, 0.000], [0.496, 0.496, 0.000]]
}


3.
{
  "formula": "PtBrN2O",
  "functional": "PBE-GGA",
  "state": "optimized geometry",
  "dft_energy_ev_per_atom": -3.52,
  "raw_formation_energy_ev_per_atom": 2.35,
  "cell": [[4.162, 0.000, 0.000], [0.000, 4.162, 0.000], [0.000, 0.000, 3.574]],
  "species": ["O", "Br", "Pt", "N", "N"],
  "frac_coords": [[0.000, 0.000, 0.500], [0.000, 0.000, 0.000], [0.500, 0.500, 0.500], [0.000, 0.500, 0.000], [0.500, 0.000, 0.000]]
}